Na6V2B4SO16: optimized geometry, GGA+U.

Structure (POSCAR):
```
Na6V2B4SO16
1.0
9.922 0.000 0.000
4.961 8.593 0.000
4.961 2.864 8.101
Na V B S O
12 4 8 2 32
direct
0.219 0.219 0.781
0.219 0.781 0.219
0.781 0.219 0.781
0.219 0.781 0.781
0.469 0.031 0.031
0.781 0.781 0.219
0.469 0.469 0.031
0.469 0.031 0.469
0.031 0.469 0.469
0.781 0.219 0.219
0.031 0.469 0.031
0.031 0.031 0.469
0.625 0.625 0.125
0.625 0.625 0.625
0.125 0.625 0.625
0.625 0.125 0.625
0.412 0.412 0.763
0.412 0.412 0.412
0.838 0.487 0.838
0.487 0.838 0.838
0.763 0.412 0.412
0.412 0.763 0.412
0.838 0.838 0.838
0.838 0.838 0.487
0.000 0.000 0.000
0.250 0.250 0.250
0.448 0.257 0.768
0.482 0.802 0.993
0.722 0.993 0.802
0.257 0.528 0.768
0.448 0.528 0.257
0.528 0.448 0.768
0.802 0.482 0.722
0.257 0.448 0.528
0.188 0.188 0.188
0.062 0.062 0.815
0.528 0.768 0.257
0.482 0.722 0.802
0.482 0.993 0.722
0.257 0.768 0.448
0.435 0.188 0.188
0.188 0.435 0.188
0.062 0.815 0.062
0.815 0.062 0.062
0.993 0.482 0.802
0.768 0.257 0.528
0.768 0.528 0.448
0.722 0.482 0.993
0.188 0.188 0.435
0.062 0.062 0.062
0.993 0.802 0.722
0.448 0.768 0.528
0.722 0.802 0.482
0.802 0.722 0.993
0.993 0.722 0.482
0.528 0.257 0.448
0.768 0.448 0.257
0.802 0.993 0.482
```

Electronic total energy in eV per atom: -6.688
Total magnetization in μB/f.u.: 2.0